Compound: Cs2PuCu2Se4
Source: Alexandria via LeMat-Bulk
Functional: GGA-PBE
Structure: optimized geometry

```
Cs2PuCu2Se4
1.0
4.181 0.000 0.000
0.000 8.436 0.578
-2.090 -2.807 7.005
Se Cs Cu Pu
4 2 2 1
direct
0.806 0.846 0.612
0.520 0.784 0.041
0.480 0.216 0.959
0.194 0.154 0.388
0.139 0.566 0.278
0.861 0.434 0.722
0.678 0.984 0.356
0.322 0.016 0.644
0.000 0.000 0.000
```

Computed properties:
Formation energy (no corrections) in eV per atom: -0.774



Compound: Li4YAg8
Source: Alexandria via LeMat-Bulk
Functional: GGA-PBE
Structure: optimized geometry

```
Li4YAg8
1.0
-0.963 -3.769 3.472
-4.832 -4.628 -2.450
4.371 -5.554 -0.902
Y Li Ag
1 4 8
direct
0.000 0.000 0.000
0.000 0.500 0.000
0.500 0.500 0.000
0.500 0.000 0.500
0.000 0.000 0.500
0.000 0.652 0.348
0.500 0.216 0.784
0.348 0.652 0.652
0.284 0.216 0.216
0.000 0.348 0.652
0.716 0.784 0.784
0.652 0.348 0.348
0.500 0.784 0.216
```

Computed properties:
Calculated formation energy in eV/atom: -0.179



Compound: Ca2YTaO6
Source: Alexandria via LeMat-Bulk
Functional: GGA-PBE
Structure: optimized geometry

```
Ca2YTaO6
1.0
5.636 0.000 -0.022
0.000 5.865 0.000
0.018 0.000 8.129
O Ta Ca Y
12 2 4 2
direct
0.887 0.549 0.233
0.211 0.184 0.445
0.613 0.049 0.267
0.387 0.951 0.733
0.179 0.215 0.067
0.113 0.451 0.767
0.679 0.285 0.567
0.711 0.316 0.945
0.821 0.785 0.933
0.789 0.816 0.555
0.321 0.715 0.433
0.289 0.684 0.055
0.500 0.000 0.500
0.000 0.500 0.000
0.015 0.948 0.254
0.485 0.448 0.246
0.515 0.552 0.754
0.985 0.052 0.746
0.000 0.500 0.500
0.500 0.000 0.000
```

Computed properties:
Formation energy (no corrections) in eV per atom: -3.183



Compound: Mg4ZnCo
Source: Alexandria via LeMat-Bulk
Functional: GGA-PBE
Structure: optimized geometry

```
Mg4ZnCo
1.0
0.000 3.892 3.892
3.892 0.000 3.892
3.892 3.892 0.000
Mg Co Zn
4 1 1
direct
0.375 0.375 0.876
0.876 0.375 0.375
0.375 0.876 0.375
0.375 0.375 0.375
0.000 0.000 0.000
0.750 0.750 0.750
```

Computed properties:
Calculated formation energy in eV/atom: 0.475



Number 1: N(E_F) 1.314 states/eV/atom, total energy -0.1843 hartree per atom. Number 2: N(E_F) 0.375 states/eV/atom, total energy -0.1110 hartree per atom. Number 3: N(E_F) 0.000 states/eV/atom, total energy -0.3083 hartree per atom. Number 4: N(E_F) 1.246 states/eV/atom, total energy -0.0729 hartree per atom.